[1]
DFT (PBE) results for a relaxed GeOsCl3 crystal.

Computed properties:
* ΔE to the lowest computed polymorph: 369 meV per atom
* uncorrected energy: -17.016 eV for the cell shown
* ρ: 4472 kg/m³

POSCAR file:
```
GeOsCl3
1.0
-0.688 0.242 -5.105
-4.974 -1.212 0.613
-1.171 5.006 0.396
Ge Os Cl
1 1 3
direct
0.000 0.000 0.000 Ge
0.500 0.500 0.500 Os
0.000 0.500 0.000 Cl
0.000 0.000 0.500 Cl
0.500 0.000 0.000 Cl
```

---

[2]
DFT (PBE) results for a relaxed ZrIrPt crystal.

Computed properties:
* ΔE to the lowest computed polymorph: 0 meV per atom
* uncorrected energy: -51.724 eV for the cell shown
* energy of formation from the pure elements: -804 meV per atom
* ρ: 15404 kg/m³

POSCAR file:
```
ZrIrPt
1.0
-2.812 0.662 -3.574
1.888 -4.138 0.703
-4.401 -1.466 3.191
Zr Ir Pt
2 2 2
direct
0.667 0.834 0.750 Zr
0.333 0.166 0.250 Zr
0.000 0.500 0.000 Ir
0.000 0.500 0.500 Ir
0.666 0.832 0.250 Pt
0.334 0.168 0.750 Pt
```

---

[3]
DFT (PBE) results for a relaxed Nb2IBr crystal.

Computed properties:
* ΔE to the lowest computed polymorph: 0 meV per atom
* uncorrected energy: -42.495 eV for the cell shown
* ρ: 6975 kg/m³

POSCAR file:
```
Nb2IBr
1.0
4.614 0.000 0.000
0.000 4.614 0.000
2.307 2.307 8.780
I Nb Br
2 4 2
direct
0.000 0.000 0.000 I
0.750 0.250 0.500 I
0.579 0.125 0.250 Nb
0.171 0.625 0.250 Nb
0.375 0.421 0.750 Nb
0.875 0.829 0.750 Nb
0.500 0.500 0.000 Br
0.250 0.750 0.500 Br
```